AlSbMo2: relaxed, GGA-PBEsol.

Summary:
space group	P4/mmm
magnetic moment	0.0	μB/f.u.
formation energy without anion corrections	0.226	eV per atom
offset from the most stable computed form	26.1	meV/atom
DOS at the Fermi energy	5.70	states/eV per cell
ρ	8.690	Mg/m³

Unit cell a=4.462 b=4.462 c=3.270 alpha=90.00 beta=90.00 gamma=90.00
Fractional positions:
Al 0.000 0.000 0.000
Sb 0.500 0.500 0.000
Mo 0.000 0.500 0.500
Mo 0.500 0.000 0.500

SrTiB2: relaxed, GGA-PBEsol.

Summary:
space group	I-42d
magnetic moment	0.0	μB/f.u.
DOS at the Fermi energy	10.13	states/eV per cell
formation energy	0.793	eV per atom
ρ	3.565	Mg/m³

Unit cell a=8.153 b=8.153 c=8.153 alpha=148.64 beta=148.64 gamma=44.95
Fractional positions:
Sr 0.000 0.000 0.000
Sr 0.750 0.250 0.500
Ti 0.250 0.750 0.500
Ti 0.500 0.500 0.000
B 0.369 0.625 0.244
B 0.375 0.619 0.744
B 0.381 0.125 0.756
B 0.875 0.631 0.256

KAlCd2Mo: relaxed, GGA-PBEsol.

Summary:
space group	P4/mmm
magnetic moment	0.3	μB/f.u.
DOS at the Fermi energy	5.42	states/eV per cell
formation energy	0.627	eV per atom
ρ	4.612	Mg/m³

Unit cell a=5.324 b=5.324 c=4.913 alpha=90.00 beta=90.00 gamma=90.00
Fractional positions:
K 0.000 0.000 0.000
Al 0.500 0.500 0.000
Cd 0.000 0.500 0.500
Cd 0.500 0.000 0.500
Mo 0.500 0.500 0.500

TcIr2Rh: relaxed, GGA-PBEsol.

Summary:
space group	P4/mmm
magnetic moment	0.0	μB/f.u.
offset from the most stable computed form	26.8	meV/atom
DOS at the Fermi energy	3.87	states/eV per cell
formation energy	-0.117	eV per atom
ρ	17.596	Mg/m³

Unit cell a=3.818 b=3.818 c=3.789 alpha=90.00 beta=90.00 gamma=90.00
Fractional positions:
Tc 0.000 0.000 0.000
Ir 0.000 0.500 0.500
Ir 0.500 0.000 0.500
Rh 0.500 0.500 0.000

RbGeNO2: relaxed, GGA-PBEsol.

Summary:
space group	P4/mmm
magnetic moment	1.2	μB/f.u.
formation energy without anion corrections	1.680	eV per atom
DOS at the Fermi energy	3.42	states/eV per cell
ρ	4.117	Mg/m³

Unit cell a=4.317 b=4.317 c=4.417 alpha=90.00 beta=90.00 gamma=90.00
Fractional positions:
Rb 0.000 0.000 0.000
Ge 0.500 0.500 0.500
N 0.000 0.000 0.500
O 0.000 0.500 0.000
O 0.500 0.000 0.000

CoMo2W: relaxed, GGA-PBEsol.

Summary:
space group	Cmmm
magnetic moment	0.0	μB/f.u.
offset from the most stable computed form	0.0	meV/atom
DOS at the Fermi energy	3.13	states/eV per cell
formation energy	0.075	eV per atom
ρ	12.836	Mg/m³

Unit cell a=2.655 b=2.655 c=8.230 alpha=90.00 beta=90.00 gamma=104.21
Fractional positions:
Co 0.000 0.000 0.000
Mo 0.500 0.500 0.226
Mo 0.500 0.500 0.774
W 0.000 0.000 0.500

MoPt2: relaxed, GGA-PBEsol.

Summary:
space group	I4/mmm
magnetic moment	0.0	μB/f.u.
offset from the most stable computed form	42.3	meV/atom
DOS at the Fermi energy	1.97	states/eV per cell
formation energy	-0.358	eV per atom
ρ	18.060	Mg/m³

Unit cell a=6.249 b=6.249 c=6.249 alpha=154.65 beta=154.65 gamma=36.16
Fractional positions:
Mo 0.000 0.000 0.000
Pt 0.340 0.340 0.000
Pt 0.660 0.660 0.000

Al11TlO17: relaxed, GGA-PBEsol.

Summary:
space group	Cmcm
magnetic moment	0.0	μB/f.u.
formation energy without anion corrections	-2.935	eV per atom
DOS at the Fermi energy	0.00	states/eV per cell
ρ	4.110	Mg/m³

Unit cell a=5.613 b=5.613 c=22.895 alpha=90.00 beta=90.00 gamma=119.99
Fractional positions:
Al 0.000 0.000 0.000
Al 0.000 0.000 0.500
Al 0.167 0.334 0.605
Al 0.167 0.334 0.895
Al 0.167 0.833 0.605
Al 0.167 0.833 0.895
Al 0.333 0.667 0.025
Al 0.333 0.667 0.175
Al 0.333 0.667 0.325
Al 0.333 0.667 0.475
Al 0.334 0.167 0.105
Al 0.334 0.167 0.395
Al 0.666 0.833 0.605
Al 0.666 0.833 0.895
Al 0.667 0.333 0.525
Al 0.667 0.333 0.675
Al 0.667 0.333 0.825
Al 0.667 0.333 0.975
Al 0.833 0.167 0.105
Al 0.833 0.167 0.395
Al 0.833 0.666 0.105
Al 0.833 0.666 0.395
Tl 0.334 0.666 0.750
Tl 0.666 0.334 0.250
O 0.000 0.000 0.140
O 0.000 0.000 0.360
O 0.000 0.000 0.640
O 0.000 0.000 0.860
O 0.003 0.501 0.644
O 0.003 0.501 0.856
O 0.156 0.313 0.049
O 0.156 0.313 0.451
O 0.157 0.843 0.049
O 0.157 0.843 0.451
O 0.313 0.156 0.549
O 0.313 0.156 0.951
O 0.333 0.667 0.250
O 0.333 0.667 0.555
O 0.333 0.667 0.945
O 0.499 0.501 0.644
O 0.499 0.501 0.856
O 0.499 0.997 0.644
O 0.499 0.997 0.856
O 0.501 0.003 0.144
O 0.501 0.003 0.356
O 0.501 0.499 0.144
O 0.501 0.499 0.356
O 0.667 0.333 0.055
O 0.667 0.333 0.445
O 0.667 0.333 0.750
O 0.687 0.844 0.049
O 0.687 0.844 0.451
O 0.843 0.157 0.549
O 0.843 0.157 0.951
O 0.844 0.687 0.549
O 0.844 0.687 0.951
O 0.997 0.499 0.144
O 0.997 0.499 0.356